A plane-wave DFT calculation with PBE was carried out for DyTlZnSe3 after structural relaxation.

Values from the calculation:
density of states at the Fermi level: 0.000 states/eV/cell
DFT total energy: -4.240 eV/atom
formation energy from raw total energies: -1.12 eV/atom
symmetry: P2_1/m

abc: 4.129 9.105 9.764
angles: 107.60 90.00 90.00
Fractional coordinates of all 12 atoms:
Dy (0.250, 0.672, 0.142)
Dy (0.750, 0.328, 0.858)
Tl (0.250, 0.210, 0.222)
Tl (0.750, 0.790, 0.778)
Zn (0.250, 0.083, 0.607)
Zn (0.750, 0.917, 0.393)
Se (0.750, 0.891, 0.135)
Se (0.250, 0.109, 0.865)
Se (0.250, 0.796, 0.465)
Se (0.750, 0.204, 0.535)
Se (0.750, 0.461, 0.161)
Se (0.250, 0.539, 0.839)

=====

A plane-wave DFT calculation with PBE was carried out for CuSi2 after structural relaxation.

Values from the calculation:
density of states at the Fermi level: 1.437 states/eV/cell
DFT total energy: -4.752 eV/atom
formation energy from raw total energies: 0.23 eV/atom
symmetry: C2/m

abc: 6.852 6.852 6.207
angles: 54.63 54.63 21.70
Fractional coordinates of all 6 atoms:
Cu (0.425, 0.425, 0.268)
Cu (0.575, 0.575, 0.732)
Si (0.114, 0.114, 0.090)
Si (0.786, 0.786, 0.677)
Si (0.214, 0.214, 0.323)
Si (0.886, 0.886, 0.910)

=====

A plane-wave DFT calculation with PBE was carried out for Tm11Mg9Cd4 after structural relaxation.

Values from the calculation:
density of states at the Fermi level: 24.278 states/eV/cell
DFT total energy: -2.920 eV/atom
symmetry: Cmmm

abc: 3.782 13.366 13.366
angles: 112.04 90.00 90.00
Fractional coordinates of all 24 atoms:
Tm (0.000, 0.588, 0.930)
Tm (0.000, 0.412, 0.070)
Tm (0.000, 0.930, 0.588)
Tm (0.000, 0.070, 0.412)
Tm (0.000, 0.652, 0.348)
Tm (0.000, 0.348, 0.652)
Tm (0.000, 0.833, 0.167)
Tm (0.000, 0.167, 0.833)
Tm (0.000, 0.000, 0.000)
Tm (0.000, 0.739, 0.739)
Tm (0.000, 0.261, 0.261)
Mg (0.500, 0.627, 0.140)
Mg (0.500, 0.373, 0.860)
Mg (0.500, 0.140, 0.627)
Mg (0.500, 0.860, 0.373)
Mg (0.500, 0.793, 0.954)
Mg (0.500, 0.207, 0.046)
Mg (0.500, 0.954, 0.793)
Mg (0.500, 0.046, 0.207)
Mg (0.500, 0.500, 0.500)
Cd (0.500, 0.550, 0.735)
Cd (0.500, 0.450, 0.265)
Cd (0.500, 0.735, 0.550)
Cd (0.500, 0.265, 0.450)

=====

A plane-wave DFT calculation with PBE was carried out for Sm5ErTl5 after structural relaxation.

Values from the calculation:
density of states at the Fermi level: 12.314 states/eV/cell
DFT total energy: -3.777 eV/atom
symmetry: C2/m

abc: 5.783 9.494 7.127
angles: 112.88 90.00 107.73
Fractional coordinates of all 11 atoms:
Sm (0.689, 0.377, 0.181)
Sm (0.637, 0.274, 0.626)
Sm (0.000, 0.000, 0.500)
Sm (0.363, 0.726, 0.374)
Sm (0.311, 0.623, 0.819)
Er (0.000, 0.000, 0.000)
Tl (0.839, 0.678, 0.067)
Tl (0.838, 0.676, 0.610)
Tl (0.500, 0.000, 0.000)
Tl (0.162, 0.324, 0.390)
Tl (0.161, 0.322, 0.933)

=====

A plane-wave DFT calculation with PBE was carried out for ZnCu after structural relaxation.

Values from the calculation:
density of states at the Fermi level: 9.301 states/eV/cell
DFT total energy: -2.643 eV/atom
symmetry: Fddd

abc: 7.794 13.897 4.157
angles: 90.00 90.00 90.00
Fractional coordinates of all 32 atoms:
Zn (0.661, 0.000, 0.000)
Zn (0.339, 0.000, 0.000)
Zn (0.589, 0.750, 0.250)
Zn (0.911, 0.750, 0.250)
Zn (0.661, 0.500, 0.500)
Zn (0.339, 0.500, 0.500)
Zn (0.589, 0.250, 0.750)
Zn (0.911, 0.250, 0.750)
Zn (0.161, 0.000, 0.500)
Zn (0.839, 0.000, 0.500)
Zn (0.089, 0.750, 0.750)
Zn (0.411, 0.750, 0.750)
Zn (0.161, 0.500, 0.000)
Zn (0.839, 0.500, 0.000)
Zn (0.089, 0.250, 0.250)
Zn (0.411, 0.250, 0.250)
Cu (0.000, 0.086, 0.000)
Cu (0.000, 0.914, 0.000)
Cu (0.250, 0.664, 0.250)
Cu (0.250, 0.836, 0.250)
Cu (0.000, 0.586, 0.500)
Cu (0.000, 0.414, 0.500)
Cu (0.250, 0.164, 0.750)
Cu (0.250, 0.336, 0.750)
Cu (0.500, 0.086, 0.500)
Cu (0.500, 0.914, 0.500)
Cu (0.750, 0.664, 0.750)
Cu (0.750, 0.836, 0.750)
Cu (0.500, 0.586, 0.000)
Cu (0.500, 0.414, 0.000)
Cu (0.750, 0.164, 0.250)
Cu (0.750, 0.336, 0.250)

=====

A plane-wave DFT calculation with PBE was carried out for Mn2Ni after structural relaxation.

Values from the calculation:
density of states at the Fermi level: 4.765 states/eV/cell
DFT total energy: -7.962 eV/atom
symmetry: Immm

abc: 4.288 4.288 4.288
angles: 147.56 129.90 60.96
Fractional coordinates of all 3 atoms:
Mn (0.001, 0.001, 0.000)
Mn (0.666, 0.666, 0.000)
Ni (0.333, 0.333, 0.000)